[1]
The following is a PBE-GGA calculation of an optimized crystal structure of Zr2CoBr, from Alexandria via LeMat-Bulk.

```
Zr2CoBr
1.0
3.2098 0.0000 0.0000
0.0000 4.4795 0.0000
-1.5987 0.0000 5.1345
Zr Co Br
2 1 1
direct
0.0000 0.0000 0.0000
0.2729 0.5000 0.5427
0.7468 0.0000 0.4898
0.5379 0.5000 0.0764
```

ΔE_f (raw) ... -0.08 eV/atom
Energy above the most stable polymorph in this dataset ... 0.381 eV/atom
Crystal system ... monoclinic
SG ... Pm, No. 6

***

[2]
The following is a PBE-GGA calculation of an optimized crystal structure of La2ErTm7, from Alexandria via LeMat-Bulk.

```
La2ErTm7
1.0
5.5583 0.0000 0.0000
-1.8564 8.1692 0.0000
-1.7153 -3.9907 7.2142
La Er Tm
2 1 7
direct
0.0772 0.2282 0.1417
0.9228 0.7718 0.8583
0.0000 0.0000 0.5000
0.2562 0.6905 0.3189
0.2776 0.5003 0.6089
0.4854 0.9989 0.7947
0.5000 0.5000 0.0000
0.5146 0.0011 0.2053
0.7224 0.4997 0.3911
0.7438 0.3095 0.6811
```

ΔH_f (0 K) ... 225 meV per atom
Crystal system ... triclinic
SG ... P-1, No. 2

***

no.,energy (eV for the cell shown)
1,-26.2
2,-43.5